(1)
## NdSm3Al4 (PBE-GGA)

Data for a relaxed NdSm3Al4 crystal.

```
16
Lattice="5.217 0.000 0.000 0.000 7.408 0.000 0.000 0.000 10.434" Properties=species:S:1:pos:R:3 pbc="T T T"
Nd 0.000 3.704 0.000
Nd 0.000 3.704 5.217
Al 2.608 5.576 0.000
Al 2.608 5.576 5.217
Al 2.608 1.831 0.000
Al 2.608 1.831 5.217
Al 0.002 5.576 7.825
Al 5.214 5.576 2.608
Al 5.214 1.831 2.608
Al 0.002 1.831 7.825
Sm 0.000 0.000 0.000
Sm 0.000 0.000 5.217
Sm 2.610 0.000 7.825
Sm 2.607 0.000 2.608
Sm 2.610 3.704 7.825
Sm 2.606 3.704 2.608
```

Values from the calculation:
For the calculated formation energy, the calculation gives -0.367 eV per atom.

(2)
## BaLiMg2In2 (PBE-GGA)

Data for a relaxed BaLiMg2In2 crystal.

```
6
Lattice="4.956 0.000 0.000 -2.478 4.292 0.000 0.000 0.000 8.213" Properties=species:S:1:pos:R:3 pbc="T T T"
Ba 0.000 0.000 0.000
Li 0.000 0.000 4.107
Mg 0.000 2.861 5.344
Mg 2.478 1.431 2.869
In 0.000 2.861 2.314
In 2.478 1.431 5.899
```

Values from the calculation:
For the calculated formation energy, the calculation gives -0.244 eV per atom.

(3)
## PrTmZn2Ga2 (PBE-GGA)

Data for a relaxed PrTmZn2Ga2 crystal.

```
6
Lattice="-1.864 2.993 2.705 -2.324 -3.548 -1.326 2.427 -3.776 5.852" Properties=species:S:1:pos:R:3 pbc="T T T"
Pr 0.000 0.000 0.000
Tm 1.213 -1.888 2.926
Zn -0.277 -1.895 5.557
Zn -1.484 -2.436 1.674
Ga -1.358 -0.214 2.952
Ga -0.404 -4.117 4.278
```

Values from the calculation:
For the calculated formation energy, the calculation gives -0.561 eV per atom.

(4)
## TaSb2Au (PBE-GGA)

Data for a relaxed TaSb2Au crystal.

```
4
Lattice="5.279 0.008 0.000 1.470 5.070 0.000 -3.374 -2.539 3.167" Properties=species:S:1:pos:R:3 pbc="T T T"
Au 2.639 0.004 1.584
Sb 0.000 0.000 0.000
Sb 3.374 2.539 0.000
Ta 0.735 2.535 1.584
```

Values from the calculation:
The calculation puts the formation energy (no corrections) at 7.094 kcal/mol of atoms.

(5)
## Dy8Cd3Os2 (PBE-GGA)

Data for a relaxed Dy8Cd3Os2 crystal.

```
13
Lattice="4.682 0.015 -0.175 -0.158 7.647 -3.580 0.108 -0.076 9.792" Properties=species:S:1:pos:R:3 pbc="T T T"
Dy 1.099 4.376 -0.661
Dy 3.532 3.209 6.699
Dy 1.084 1.207 2.530
Dy 3.548 6.379 3.508
Dy 1.218 0.852 5.858
Dy 1.153 3.994 4.387
Dy 3.478 3.591 1.651
Dy 3.413 6.734 0.179
Cd 2.341 0.007 -0.087
Cd -0.127 6.153 -2.881
Cd -0.031 1.494 -0.699
Os 3.547 2.010 4.136
Os 1.085 5.576 1.901
```

Values from the calculation:
For the calculated formation energy, the calculation gives -0.135 eV per atom.

(6)
## Sr4Au2Cl (PBE-GGA)

Data for a relaxed Sr4Au2Cl crystal.

```
7
Lattice="5.826 0.000 0.000 0.000 5.826 0.000 -2.913 -2.913 7.696" Properties=species:S:1:pos:R:3 pbc="T T T"
Sr 2.913 2.913 4.480
Sr 0.000 0.000 3.216
Sr 0.000 2.913 0.000
Sr 2.913 0.000 0.000
Au 2.913 2.913 1.465
Au 0.000 0.000 6.231
Cl 0.000 0.000 0.000
```

Values from the calculation:
The calculation puts the formation energy (no corrections) at -18.472 kcal/mol of atoms.

(7)
## ZnAgRhF6 (PBE-GGA)

Data for a relaxed ZnAgRhF6 crystal.

```
18
Lattice="5.441 0.000 0.000 -2.720 4.712 0.000 0.000 0.000 10.346" Properties=species:S:1:pos:R:3 pbc="T T T"
Zn 0.000 3.141 2.586
Zn 2.720 1.571 7.759
Ag 0.000 0.000 0.000
Ag 0.000 0.000 5.173
Rh 2.720 1.571 2.586
Rh 0.000 3.141 7.759
F 1.774 2.993 1.505
F 4.426 1.679 1.505
F -0.759 4.673 6.678
F -1.705 3.033 8.841
F 1.015 1.679 3.668
F 3.667 2.993 3.668
F 0.759 4.673 8.841
F 3.479 0.039 3.668
F -0.947 1.719 6.678
F 1.962 0.039 1.505
F 1.705 3.033 6.678
F 0.947 1.719 8.841
```

Values from the calculation:
The calculation puts the formation energy (no corrections) at -38.823 kcal/mol of atoms.

(8)
## LaRuSe2 (PBE-GGA)

Data for a relaxed LaRuSe2 crystal.

```
4
Lattice="5.894 -0.002 0.000 3.007 5.069 0.000 -4.450 -2.533 2.917" Properties=species:S:1:pos:R:3 pbc="T T T"
La 4.450 2.533 0.000
Ru 2.947 -0.001 1.459
Se 0.000 0.000 0.000
Se 1.504 2.534 1.459
```

Values from the calculation:
The calculation puts the formation energy (no corrections) at -9.988 kcal/mol of atoms.

(9)
## La2InBr2 (PBE-GGA)

Data for a relaxed La2InBr2 crystal.

```
5
Lattice="-2.361 -3.555 -1.570 1.787 -2.625 3.256 -6.247 -1.236 5.608" Properties=species:S:1:pos:R:3 pbc="T T T"
In 0.000 0.000 0.000
Br -4.448 -3.940 2.440
Br -2.374 -3.475 4.853
La -1.688 -2.654 1.962
La -5.134 -4.761 5.331
```

Values from the calculation:
The calculation puts the formation energy (no corrections) at -23.139 kcal/mol of atoms.

(10)
## Er6Co2Rh (PBE-GGA)

Data for a relaxed Er6Co2Rh crystal.

```
18
Lattice="7.591 0.176 -2.773 -3.912 6.644 -2.428 -0.088 -0.176 8.081" Properties=species:S:1:pos:R:3 pbc="T T T"
Er 1.280 4.833 3.317
Er 2.312 1.811 -0.437
Er -0.445 1.635 5.756
Er 4.037 5.009 -2.876
Er 3.202 5.002 0.452
Er 0.389 1.642 2.429
Er -1.580 4.827 5.212
Er 5.171 1.818 -2.331
Er 3.740 2.389 2.671
Er -0.148 4.255 0.210
Er -1.538 6.502 2.174
Er 5.129 0.142 0.707
Co 2.212 2.490 4.830
Co 1.380 4.154 -1.950
Co 4.983 0.000 3.525
Co 2.520 0.000 1.783
Rh -2.000 3.234 2.827
Rh 0.000 0.000 0.000
```

Values from the calculation:
For the calculated formation energy, the calculation gives -0.362 eV per atom.

(11)
## YTl2Ga2 (PBE-GGA)

Data for a relaxed YTl2Ga2 crystal.

```
5
Lattice="3.888 0.000 0.000 0.000 3.888 0.000 1.944 1.944 8.478" Properties=species:S:1:pos:R:3 pbc="T T T"
Y 0.000 0.000 0.000
Tl 1.944 1.944 1.820
Tl 3.888 3.888 6.658
Ga 3.888 1.944 4.239
Ga 1.944 3.888 4.239
```

Values from the calculation:
For the calculated formation energy, the calculation gives -0.014 eV per atom.

(12)
## Ho3Nb (PBE-GGA)

Data for a relaxed Ho3Nb crystal.

```
4
Lattice="5.330 0.000 0.000 0.000 3.360 0.000 0.000 0.000 5.976" Properties=species:S:1:pos:R:3 pbc="T T T"
Nb 0.000 0.000 5.910
Ho 0.000 1.680 2.922
Ho 2.665 1.680 0.972
Ho 2.665 0.000 4.140
```

Values from the calculation:
For the calculated formation energy, the calculation gives 0.240 eV per atom.

(13)
## Ca2Tl3In (PBE-GGA)

Data for a relaxed Ca2Tl3In crystal.

```
12
Lattice="6.249 -1.032 0.000 -1.274 6.204 0.000 -2.487 -2.586 9.330" Properties=species:S:1:pos:R:3 pbc="T T T"
Ca -0.637 3.102 4.665
Ca 3.736 3.884 0.000
Ca 3.124 -0.516 4.665
Ca 1.238 1.287 0.000
Tl 0.625 4.377 1.555
Tl -1.862 1.791 7.776
Tl 1.862 -1.791 7.776
Tl 4.349 0.795 1.555
Tl 0.000 0.000 3.173
Tl 2.487 2.586 6.157
In 2.487 2.586 3.109
In 0.000 0.000 6.221
```

Values from the calculation:
For the calculated formation energy, the calculation gives -0.269 eV per atom.

(14)
## ErAs3Ru5 (PBE-GGA)

Data for a relaxed ErAs3Ru5 crystal.

```
18
Lattice="3.110 0.000 0.000 -1.555 6.620 0.000 0.000 0.000 14.268" Properties=species:S:1:pos:R:3 pbc="T T T"
Er 1.555 4.507 10.701
Er 0.000 2.113 3.567
As 0.000 4.820 13.545
As 1.555 4.966 3.567
As 0.000 4.820 7.857
As 1.555 1.801 6.411
As 0.000 1.654 10.701
As 1.555 1.801 0.723
Ru 1.555 4.108 5.901
Ru 0.000 2.512 13.034
Ru 0.000 0.000 7.134
Ru 0.000 0.000 0.000
Ru 0.000 6.452 2.226
Ru 1.555 0.168 12.042
Ru 1.555 0.168 9.360
Ru 1.555 4.108 1.233
Ru 0.000 2.512 8.367
Ru 0.000 6.452 4.908
```

Values from the calculation:
For the calculated formation energy, the calculation gives -0.185 eV per atom.

(15)
## Tc2NiPb (PBE-GGA)

Data for a relaxed Tc2NiPb crystal.

```
4
Lattice="-0.694 -3.735 3.343 4.054 -2.919 0.807 -0.889 4.981 -0.062" Properties=species:S:1:pos:R:3 pbc="T T T"
Ni 2.422 -0.632 1.409
Pb 0.048 -1.040 2.678
Tc 0.000 0.000 0.000
Tc 1.680 -3.327 2.075
```

Values from the calculation:
For the calculated formation energy, the calculation gives 0.557 eV per atom.

(16)
## Sc2Cd6Ag3 (PBE-GGA)

Data for a relaxed Sc2Cd6Ag3 crystal.

```
11
Lattice="4.528 -1.308 1.084 -1.031 4.614 -1.199 1.290 -4.161 12.728" Properties=species:S:1:pos:R:3 pbc="T T T"
Sc 4.087 -0.619 4.099
Sc 0.700 -0.237 8.514
Cd 2.265 -1.799 11.118
Cd 4.203 -3.914 11.248
Cd 2.522 0.943 1.495
Cd 0.584 3.058 1.364
Cd 3.638 0.046 7.123
Cd 1.149 -0.901 5.490
Ag 0.000 0.000 0.000
Ag 2.067 1.584 4.349
Ag 2.720 -2.440 8.264
```

Values from the calculation:
For the calculated formation energy, the calculation gives -0.133 eV per atom.

(17)
## CsCuSi2 (PBE-GGA)

Data for a relaxed CsCuSi2 crystal.

```
12
Lattice="4.013 0.000 0.000 -2.006 3.475 0.000 0.000 0.000 21.702" Properties=species:S:1:pos:R:3 pbc="T T T"
Cs 0.000 0.000 8.217
Cs 0.000 2.317 0.983
Cs 2.006 1.158 15.451
Cu 0.000 0.000 4.465
Cu 0.000 2.317 18.933
Cu 2.006 1.158 11.699
Si 0.000 0.000 18.327
Si 0.000 2.317 11.093
Si 2.006 1.158 3.859
Si 0.000 0.000 12.528
Si 0.000 2.317 5.294
Si 2.006 1.158 19.762
```

Values from the calculation:
The calculation puts the formation energy (no corrections) at 1.885 kcal/mol of atoms.

(18)
## BaSmTl2 (PBE-GGA)

Data for a relaxed BaSmTl2 crystal.

```
4
Lattice="-3.078 2.102 -1.552 -2.610 -2.577 1.686 -0.232 4.689 6.808" Properties=species:S:1:pos:R:3 pbc="T T T"
Tl -0.183 3.694 5.363
Tl -0.049 0.995 1.444
Ba -2.960 2.107 3.471
Sm -2.844 -0.238 0.067
```

Values from the calculation:
For the calculated formation energy, the calculation gives -0.384 eV per atom.

(19)
## Ac4Sb5Au (PBE-GGA)

Data for a relaxed Ac4Sb5Au crystal.

```
10
Lattice="4.477 0.000 1.235 2.059 8.649 1.267 -0.067 -0.160 8.979" Properties=species:S:1:pos:R:3 pbc="T T T"
Ac 1.671 2.402 7.044
Ac 0.506 2.094 2.532
Ac 3.724 6.395 8.332
Ac 2.560 6.086 3.820
Sb 3.253 2.955 10.041
Sb 4.119 -0.002 6.903
Sb 4.354 4.244 6.049
Sb 4.589 8.490 5.196
Sb 5.455 5.534 2.057
Au 1.119 0.000 0.309
```

Values from the calculation:
The calculation puts the formation energy (no corrections) at -19.271 kcal/mol of atoms.

(20)
## PaBeRe2 (PBE-GGA)

Data for a relaxed PaBeRe2 crystal.

```
4
Lattice="-2.295 -3.522 -1.237 1.746 -4.000 0.388 -1.943 -2.861 3.989" Properties=species:S:1:pos:R:3 pbc="T T T"
Re -1.526 -7.719 1.525
Re -0.965 -2.664 1.616
Pa 0.000 0.000 0.000
Be -1.246 -5.191 1.570
```

Values from the calculation:
For the calculated formation energy, the calculation gives 0.090 eV per atom.

Calculated values (Bohr magnetons per cell) of magnetization for the records, taken in order: 0.0; 0.0; 0.0; 0.0; 0.0; 0.0; 0.0; 1.5; 0.0; 0.0; 0.0; 0.0; 0.0; 0.0; 0.0; 0.0; 0.0; 0.0; 0.0; 0.0.
Calculated values (eV/atom) of total energy for the records, taken in order: -4.6043; -2.3276; -3.5364; -5.5361; -4.9055; -2.9622; -4.2062; -5.7262; -4.1912; -5.8003; -3.4639; -5.7106; -2.5758; -7.3951; -6.9985; -2.5610; -3.8672; -3.2272; -4.8680; -9.4400.